ZnSnMo3 | PBEsol | relaxed

Values from the calculation:
formation energy: 2.361 eV/atom

Lattice parameters (Å, degrees): 4.8319 4.8319 4.8319 90.00 90.00 90.00
Fractional positions:
Mo1 0.5000 0.0000 0.0000
Mo2 0.0000 0.5000 0.0000
Mo3 0.0000 0.0000 0.5000
Sn1 0.0000 0.0000 0.0000
Zn1 0.5000 0.5000 0.5000